# 1
This record from OQMD via LeMat-Bulk describes Sr2TaIrN2O4 after structural relaxation. The functional is PBE.

The structure in extended XYZ format:
```
20
Lattice="5.629 0.000 0.000 0.006 5.634 0.000 0.024 0.049 7.983" Properties=species:S:1:pos:R:3 pbc="T T T"
Sr 0.000 0.000 0.000
Sr 0.018 0.082 3.999
Sr 2.797 2.890 0.012
Sr 2.835 2.965 4.004
Ta 0.041 2.911 6.009
Ta 2.853 0.115 2.042
Ir 2.846 0.103 5.905
Ir 5.595 2.822 2.017
N 1.494 4.310 6.048
N 2.681 0.198 3.996
N 4.179 1.553 2.047
N 4.197 1.493 5.996
O 0.226 2.727 4.001
O 1.314 1.355 1.709
O 1.406 1.471 6.224
O 1.513 4.172 1.955
O 3.032 5.492 0.025
O 4.293 4.337 5.708
O 4.337 4.353 2.248
O 5.435 3.025 0.010
```

Properties
Volume in Å³ per cell: 253
Symmetry: P1 (1)

# 2
This record from OQMD via LeMat-Bulk describes ZnFeGeIr after structural relaxation. The functional is PBE.

The structure in extended XYZ format:
```
4
Lattice="0.000 2.971 2.971 2.971 0.000 2.971 2.971 2.971 0.000" Properties=species:S:1:pos:R:3 pbc="T T T"
Zn 0.000 0.000 0.000
Fe 4.457 4.457 4.457
Ge 2.971 2.971 2.971
Ir 1.486 1.486 1.486
```

Properties
Volume in Å³ per cell: 52
Symmetry: F-43m (216)

# 3
This record from OQMD via LeMat-Bulk describes Cs2RbAuCl6 after structural relaxation. The functional is PBE.

The structure in extended XYZ format:
```
10
Lattice="0.000 5.564 5.564 5.564 0.000 5.564 5.564 5.564 0.000" Properties=species:S:1:pos:R:3 pbc="T T T"
Cs 2.782 2.782 2.782
Cs 8.346 8.346 8.346
Rb 0.000 0.000 0.000
Au 5.564 5.564 5.564
Cl 5.564 5.564 3.054
Cl 5.564 3.054 5.564
Cl 8.075 5.564 5.564
Cl 3.054 5.564 5.564
Cl 5.564 8.075 5.564
Cl 5.564 5.564 8.075
```

Properties
Volume in Å³ per cell: 345
Symmetry: Fm-3m (225)

What did we get for VASP energy? Answer: -7.7615; -5.8400; -2.9225 eV per atom, in the order shown.